# 1
An optimized crystal structure of KSn2Cl5, computed with GGA-PBEsol.

Values from the calculation:
Space group: I4/mcm
DOS at the Fermi energy (states/eV per atom): 0.000
Energy relative to the elements, uncorrected (eV/f.u.): -10.00
Final energy (eV per cell): -59.4

The structure in CIF format:
```
data_KSn2Cl5
_chemical_formula_sum 'K2 Sn4 Cl10'
_space_group_name_H-M_alt 'P 1'
_space_group_IT_number 1
_cell_length_a 8.8341
_cell_length_b 8.8341
_cell_length_c 8.8341
_cell_angle_alpha 127.63
_cell_angle_beta 127.63
_cell_angle_gamma 77.23
loop_
_space_group_symop_operation_xyz
'x,y,z'
loop_
_atom_site_label
_atom_site_type_symbol
_atom_site_fract_x
_atom_site_fract_y
_atom_site_fract_z
K1 K 0.2500 0.2500 0.0000
K2 K 0.7500 0.7500 0.0000
Sn1 Sn 0.1657 0.6657 0.8314
Sn2 Sn 0.3343 0.1657 0.5000
Sn3 Sn 0.6657 0.8343 0.5000
Sn4 Sn 0.8343 0.3343 0.1686
Cl1 Cl 0.0000 0.0000 0.0000
Cl2 Cl 0.0304 0.1995 0.5000
Cl3 Cl 0.1995 0.6995 0.1691
Cl4 Cl 0.3005 0.4696 0.5000
Cl5 Cl 0.4696 0.9696 0.1691
Cl6 Cl 0.5000 0.5000 0.0000
Cl7 Cl 0.5304 0.0304 0.8309
Cl8 Cl 0.6995 0.5304 0.5000
Cl9 Cl 0.8005 0.3005 0.8309
Cl10 Cl 0.9696 0.8005 0.5000
```



# 2
An optimized crystal structure of KSr2Cl5, computed with GGA-PBEsol.

Values from the calculation:
Space group: P2_1/c
DOS at the Fermi energy (states/eV per atom): 0.000
Energy relative to the elements, uncorrected (eV/f.u.): -18.92
Final energy (eV per cell): -135.1

The structure in CIF format:
```
data_KSr2Cl5
_chemical_formula_sum 'K4 Sr8 Cl20'
_space_group_name_H-M_alt 'P 1'
_space_group_IT_number 1
_cell_length_a 8.7946
_cell_length_b 7.7707
_cell_length_c 12.5433
_cell_angle_alpha 90.00
_cell_angle_beta 90.09
_cell_angle_gamma 90.00
loop_
_space_group_symop_operation_xyz
'x,y,z'
loop_
_atom_site_label
_atom_site_type_symbol
_atom_site_fract_x
_atom_site_fract_y
_atom_site_fract_z
K1 K 0.0097 0.0418 0.3301
K2 K 0.0097 0.4582 0.8301
K3 K 0.9903 0.5418 0.1699
K4 K 0.9903 0.9582 0.6699
Sr1 Sr 0.2494 0.5686 0.4936
Sr2 Sr 0.2494 0.9314 0.9936
Sr3 Sr 0.4989 0.5231 0.1773
Sr4 Sr 0.4989 0.9769 0.6773
Sr5 Sr 0.5011 0.0231 0.3227
Sr6 Sr 0.5011 0.4769 0.8227
Sr7 Sr 0.7506 0.0686 0.0064
Sr8 Sr 0.7506 0.4314 0.5064
Cl1 Cl 0.0368 0.1683 0.0910
Cl2 Cl 0.0368 0.3317 0.5910
Cl3 Cl 0.2697 0.6946 0.7168
Cl4 Cl 0.2697 0.8054 0.2168
Cl5 Cl 0.2811 0.5461 0.9974
Cl6 Cl 0.2811 0.9539 0.4974
Cl7 Cl 0.2839 0.1707 0.8163
Cl8 Cl 0.2839 0.3293 0.3163
Cl9 Cl 0.4616 0.1605 0.1003
Cl10 Cl 0.4616 0.3395 0.6003
Cl11 Cl 0.5384 0.6605 0.3997
Cl12 Cl 0.5384 0.8395 0.8997
Cl13 Cl 0.7161 0.6707 0.6837
Cl14 Cl 0.7161 0.8293 0.1837
Cl15 Cl 0.7189 0.0461 0.5026
Cl16 Cl 0.7189 0.4539 0.0026
Cl17 Cl 0.7303 0.1946 0.7832
Cl18 Cl 0.7303 0.3054 0.2832
Cl19 Cl 0.9632 0.6683 0.4090
Cl20 Cl 0.9632 0.8317 0.9090
```



# 3
An optimized crystal structure of KSrCl2, computed with GGA-PBEsol.

Values from the calculation:
Space group: Cmmm
DOS at the Fermi energy (states/eV per atom): 0.320
Energy relative to the elements, uncorrected (eV/f.u.): -6.70
Final energy (eV per cell): -13.7

The structure in CIF format:
```
data_KSrCl2
_chemical_formula_sum 'K1 Sr1 Cl2'
_space_group_name_H-M_alt 'P 1'
_space_group_IT_number 1
_cell_length_a 4.8230
_cell_length_b 4.8230
_cell_length_c 8.6226
_cell_angle_alpha 90.00
_cell_angle_beta 90.00
_cell_angle_gamma 129.30
loop_
_space_group_symop_operation_xyz
'x,y,z'
loop_
_atom_site_label
_atom_site_type_symbol
_atom_site_fract_x
_atom_site_fract_y
_atom_site_fract_z
K1 K 0.0000 0.0000 0.0000
Sr1 Sr 0.0000 0.0000 0.5000
Cl1 Cl 0.5000 0.5000 0.2614
Cl2 Cl 0.5000 0.5000 0.7386
```



# 4
An optimized crystal structure of K3SrCl, computed with GGA-PBEsol.

Values from the calculation:
Space group: Pm-3m
DOS at the Fermi energy (states/eV per atom): 0.747
Energy relative to the elements, uncorrected (eV/f.u.): 0.85
Final energy (eV per cell): -6.4

The structure in CIF format:
```
data_K3SrCl
_chemical_formula_sum 'K3 Sr1 Cl1'
_space_group_name_H-M_alt 'P 1'
_space_group_IT_number 1
_cell_length_a 7.8514
_cell_length_b 7.8514
_cell_length_c 7.8514
_cell_angle_alpha 90.00
_cell_angle_beta 90.00
_cell_angle_gamma 90.00
loop_
_space_group_symop_operation_xyz
'x,y,z'
loop_
_atom_site_label
_atom_site_type_symbol
_atom_site_fract_x
_atom_site_fract_y
_atom_site_fract_z
K1 K 0.0000 0.0000 0.5000
K2 K 0.0000 0.5000 0.0000
K3 K 0.5000 0.0000 0.0000
Sr1 Sr 0.0000 0.0000 0.0000
Cl1 Cl 0.5000 0.5000 0.5000
```



# 5
An optimized crystal structure of K2SrCl, computed with GGA-PBEsol.

Values from the calculation:
Space group: P2/m
DOS at the Fermi energy (states/eV per atom): 0.691
Energy relative to the elements, uncorrected (eV/f.u.): -3.27
Final energy (eV per cell): -9.4

The structure in CIF format:
```
data_K2SrCl
_chemical_formula_sum 'K2 Sr1 Cl1'
_space_group_name_H-M_alt 'P 1'
_space_group_IT_number 1
_cell_length_a 3.8966
_cell_length_b 3.8968
_cell_length_c 11.0269
_cell_angle_alpha 90.00
_cell_angle_beta 90.23
_cell_angle_gamma 90.00
loop_
_space_group_symop_operation_xyz
'x,y,z'
loop_
_atom_site_label
_atom_site_type_symbol
_atom_site_fract_x
_atom_site_fract_y
_atom_site_fract_z
K1 K 0.9997 0.0000 0.1643
K2 K 0.0003 0.0000 0.8357
Sr1 Sr 0.5000 0.5000 0.5000
Cl1 Cl 0.5000 0.5000 0.0000
```



# 6
An optimized crystal structure of KSrCl2, computed with GGA-PBEsol.

Values from the calculation:
Space group: Pmmm
DOS at the Fermi energy (states/eV per atom): 0.333
Energy relative to the elements, uncorrected (eV/f.u.): -6.28
Final energy (eV per cell): -13.3

The structure in CIF format:
```
data_KSrCl2
_chemical_formula_sum 'K1 Sr1 Cl2'
_space_group_name_H-M_alt 'P 1'
_space_group_IT_number 1
_cell_length_a 4.1153
_cell_length_b 4.2975
_cell_length_c 8.1543
_cell_angle_alpha 90.00
_cell_angle_beta 90.00
_cell_angle_gamma 90.00
loop_
_space_group_symop_operation_xyz
'x,y,z'
loop_
_atom_site_label
_atom_site_type_symbol
_atom_site_fract_x
_atom_site_fract_y
_atom_site_fract_z
K1 K 0.0000 0.0000 0.0000
Sr1 Sr 0.0000 0.5000 0.5000
Cl1 Cl 0.5000 0.0000 0.5000
Cl2 Cl 0.5000 0.5000 0.0000
```



# 7
An optimized crystal structure of KSrCl2, computed with GGA-PBEsol.

Values from the calculation:
Space group: Cm
DOS at the Fermi energy (states/eV per atom): 0.403
Energy relative to the elements, uncorrected (eV/f.u.): -6.88
Final energy (eV per cell): -13.9

The structure in CIF format:
```
data_KSrCl2
_chemical_formula_sum 'K1 Sr1 Cl2'
_space_group_name_H-M_alt 'P 1'
_space_group_IT_number 1
_cell_length_a 8.3151
_cell_length_b 8.3151
_cell_length_c 4.2603
_cell_angle_alpha 90.06
_cell_angle_beta 90.06
_cell_angle_gamma 27.07
loop_
_space_group_symop_operation_xyz
'x,y,z'
loop_
_atom_site_label
_atom_site_type_symbol
_atom_site_fract_x
_atom_site_fract_y
_atom_site_fract_z
K1 K 0.0000 0.0000 0.0000
Sr1 Sr 0.2470 0.2470 0.5003
Cl1 Cl 0.6090 0.6090 0.4996
Cl2 Cl 0.7832 0.7832 0.0004
```



# 8
An optimized crystal structure of K2SrCl, computed with GGA-PBEsol.

Values from the calculation:
Space group: F-43m
DOS at the Fermi energy (states/eV per atom): 0.637
Energy relative to the elements, uncorrected (eV/f.u.): -1.39
Final energy (eV per cell): -7.5

The structure in CIF format:
```
data_K2SrCl
_chemical_formula_sum 'K2 Sr1 Cl1'
_space_group_name_H-M_alt 'P 1'
_space_group_IT_number 1
_cell_length_a 6.5171
_cell_length_b 6.5171
_cell_length_c 6.5171
_cell_angle_alpha 60.00
_cell_angle_beta 60.00
_cell_angle_gamma 60.00
loop_
_space_group_symop_operation_xyz
'x,y,z'
loop_
_atom_site_label
_atom_site_type_symbol
_atom_site_fract_x
_atom_site_fract_y
_atom_site_fract_z
K1 K 0.0000 0.0000 0.0000
K2 K 0.2500 0.2500 0.2500
Sr1 Sr 0.7500 0.7500 0.7500
Cl1 Cl 0.5000 0.5000 0.5000
```



# 9
An optimized crystal structure of KSrCl2, computed with GGA-PBEsol.

Values from the calculation:
Space group: P4/mmm
DOS at the Fermi energy (states/eV per atom): 0.458
Energy relative to the elements, uncorrected (eV/f.u.): -6.24
Final energy (eV per cell): -13.2

The structure in CIF format:
```
data_KSrCl2
_chemical_formula_sum 'K1 Sr1 Cl2'
_space_group_name_H-M_alt 'P 1'
_space_group_IT_number 1
_cell_length_a 5.4355
_cell_length_b 5.4355
_cell_length_c 3.6160
_cell_angle_alpha 90.00
_cell_angle_beta 90.00
_cell_angle_gamma 90.00
loop_
_space_group_symop_operation_xyz
'x,y,z'
loop_
_atom_site_label
_atom_site_type_symbol
_atom_site_fract_x
_atom_site_fract_y
_atom_site_fract_z
K1 K 0.0000 0.0000 0.0000
Sr1 Sr 0.5000 0.5000 0.0000
Cl1 Cl 0.0000 0.5000 0.5000
Cl2 Cl 0.5000 0.0000 0.5000
```



# 10
An optimized crystal structure of KTa2Cl, computed with GGA-PBEsol.

Values from the calculation:
Space group: Pm
DOS at the Fermi energy (states/eV per atom): 0.742
Energy relative to the elements, uncorrected (eV/f.u.): 0.13
Final energy (eV per cell): -28.1

The structure in CIF format:
```
data_KTa2Cl
_chemical_formula_sum 'K1 Ta2 Cl1'
_space_group_name_H-M_alt 'P 1'
_space_group_IT_number 1
_cell_length_a 3.4739
_cell_length_b 2.9915
_cell_length_c 9.0074
_cell_angle_alpha 90.00
_cell_angle_beta 100.46
_cell_angle_gamma 90.00
loop_
_space_group_symop_operation_xyz
'x,y,z'
loop_
_atom_site_label
_atom_site_type_symbol
_atom_site_fract_x
_atom_site_fract_y
_atom_site_fract_z
K1 K 0.0000 0.0000 0.0000
Ta1 Ta 0.2814 0.0000 0.5297
Ta2 Ta 0.6721 0.5000 0.3525
Cl1 Cl 0.3921 0.5000 0.7711
```



# 11
An optimized crystal structure of K3TaCl, computed with GGA-PBEsol.

Values from the calculation:
Space group: Pm-3m
DOS at the Fermi energy (states/eV per atom): 1.282
Energy relative to the elements, uncorrected (eV/f.u.): 2.60
Final energy (eV per cell): -15.4

The structure in CIF format:
```
data_K3TaCl
_chemical_formula_sum 'K3 Ta1 Cl1'
_space_group_name_H-M_alt 'P 1'
_space_group_IT_number 1
_cell_length_a 5.8705
_cell_length_b 5.8705
_cell_length_c 5.8705
_cell_angle_alpha 90.00
_cell_angle_beta 90.00
_cell_angle_gamma 90.00
loop_
_space_group_symop_operation_xyz
'x,y,z'
loop_
_atom_site_label
_atom_site_type_symbol
_atom_site_fract_x
_atom_site_fract_y
_atom_site_fract_z
K1 K 0.0000 0.0000 0.5000
K2 K 0.0000 0.5000 0.0000
K3 K 0.5000 0.0000 0.0000
Ta1 Ta 0.5000 0.5000 0.5000
Cl1 Cl 0.0000 0.0000 0.0000
```



# 12
An optimized crystal structure of K2TaCl, computed with GGA-PBEsol.

Values from the calculation:
Space group: I-4m2
DOS at the Fermi energy (states/eV per atom): 1.579
Energy relative to the elements, uncorrected (eV/f.u.): 3.59
Final energy (eV per cell): -13.2

The structure in CIF format:
```
data_K2TaCl
_chemical_formula_sum 'K2 Ta1 Cl1'
_space_group_name_H-M_alt 'P 1'
_space_group_IT_number 1
_cell_length_a 6.9082
_cell_length_b 6.9082
_cell_length_c 6.9082
_cell_angle_alpha 140.03
_cell_angle_beta 140.03
_cell_angle_gamma 57.80
loop_
_space_group_symop_operation_xyz
'x,y,z'
loop_
_atom_site_label
_atom_site_type_symbol
_atom_site_fract_x
_atom_site_fract_y
_atom_site_fract_z
K1 K 0.0000 0.0000 0.0000
K2 K 0.7500 0.2500 0.5000
Ta1 Ta 0.5000 0.5000 0.0000
Cl1 Cl 0.2500 0.7500 0.5000
```



Question: Which of these has the lowest energy relative to the elements, uncorrected?
Answer: KSr2Cl5